Entry 1:
Below is Li6PrAu6 after structural relaxation, with properties calculated at the PBE level.

```
13
Lattice="5.340 0.000 0.000 2.670 6.497 -0.020 2.670 0.136 6.495" Properties=species:S:1:pos:R:3 pbc="T T T"
Au 5.340 4.354 4.251
Au 2.670 2.276 4.303
Au 2.670 1.313 1.282
Au 5.340 2.279 2.225
Au 2.670 4.356 2.172
Au 8.010 5.320 5.194
Li 4.005 3.248 -0.010
Li 5.340 4.988 1.526
Li 4.005 0.068 3.248
Li 5.340 1.645 4.950
Li 1.335 0.068 3.248
Li 1.335 3.248 -0.010
Pr 0.000 0.000 0.000
```

Results
VASP energy, eV/atom: -3.26
ρ, g cm⁻³: 10.054
Symmetry: No. 71

=====

Entry 2:
Below is Na2GaF4 after structural relaxation, with properties calculated at the PBE level.

```
7
Lattice="-3.978 -1.258 -0.481 1.322 -3.362 -2.142 -0.960 -5.435 3.821" Properties=species:S:1:pos:R:3 pbc="T T T"
Ga 0.000 0.000 0.000
Na -2.395 -6.836 1.017
Na -1.221 -3.218 0.181
F 0.661 -1.681 -1.071
F -1.989 -0.629 -0.240
F -2.529 -5.696 -0.854
F -1.087 -4.358 2.052
```

Results
Formation energy (no corrections), meV per atom: -2370
ρ, g cm⁻³: 2.998
Symmetry: No. 139